(1)
# Cs2CrAuI6

Cs2CrAuI6 after structural relaxation (PBE, the Alexandria database).

Summary:
DOS at the Fermi energy (states/eV/f.u.): 2.06
Energy relative to the elements, uncorrected (eV/f.u.): -7.2
Calculated density (g cm⁻³): 5.23

Structure (CIF):
```
data_Cs2CrAuI6
_chemical_formula_sum 'Cs4 Cr2 Au2 I12'
_symmetry_space_group_name_H-M 'I 4/m m m'
_symmetry_Int_Tables_number 139
_symmetry_space_group_name_Hall '-I 4 2'
_cell_length_a 8.082
_cell_length_b 8.082
_cell_length_c 12.418
_cell_angle_alpha 90.00
_cell_angle_beta 90.00
_cell_angle_gamma 90.00
loop_
_atom_site_label
_atom_site_type_symbol
_atom_site_fract_x
_atom_site_fract_y
_atom_site_fract_z
_atom_site_occupancy
Cs1 Cs 0.000 0.500 0.250 1
Cr1 Cr 0.000 0.000 0.000 1
Au1 Au 0.000 0.000 0.500 1
I1 I 0.000 0.000 0.220 1
I2 I 0.250 0.250 0.000 1
```



(2)
# CsLa2CrAu

CsLa2CrAu after structural relaxation (PBE, the Alexandria database).

Summary:
Formation enthalpy at 0 K (kJ per mole of atoms): 36.6
DOS at the Fermi energy (states/eV/f.u.): 6.50
Energy relative to the lowest polymorph listed for this composition (eV per atom): 0.000
Calculated density (g cm⁻³): 5.78

Structure (CIF):
```
data_CsLa2CrAu
_chemical_formula_sum 'Cs1 La2 Cr1 Au1'
_symmetry_space_group_name_H-M 'P 4/m m m'
_symmetry_Int_Tables_number 123
_symmetry_space_group_name_Hall '-P 4 2'
_cell_length_a 5.919
_cell_length_b 5.919
_cell_length_c 5.409
_cell_angle_alpha 90.00
_cell_angle_beta 90.00
_cell_angle_gamma 90.00
loop_
_atom_site_label
_atom_site_type_symbol
_atom_site_fract_x
_atom_site_fract_y
_atom_site_fract_z
_atom_site_occupancy
Cs1 Cs 0.000 0.000 0.000 1
La1 La 0.000 0.500 0.500 1
Cr1 Cr 0.500 0.500 0.000 1
Au1 Au 0.500 0.500 0.500 1
```



(3)
# CsLa2CrAu

CsLa2CrAu after structural relaxation (PBE, the Alexandria database).

Summary:
Formation enthalpy at 0 K (kJ per mole of atoms): 127.8
DOS at the Fermi energy (states/eV/f.u.): 4.34
Energy relative to the lowest polymorph listed for this composition (eV per atom): 0.945
Calculated density (g cm⁻³): 6.46

Structure (CIF):
```
data_CsLa2CrAu
_chemical_formula_sum 'Cs1 La2 Cr1 Au1'
_symmetry_space_group_name_H-M 'P 4/m m m'
_symmetry_Int_Tables_number 123
_symmetry_space_group_name_Hall '-P 4 2'
_cell_length_a 5.852
_cell_length_b 5.852
_cell_length_c 4.948
_cell_angle_alpha 90.00
_cell_angle_beta 90.00
_cell_angle_gamma 90.00
loop_
_atom_site_label
_atom_site_type_symbol
_atom_site_fract_x
_atom_site_fract_y
_atom_site_fract_z
_atom_site_occupancy
Cs1 Cs 0.000 0.000 0.000 1
La1 La 0.000 0.500 0.000 1
Cr1 Cr 0.000 0.000 0.500 1
Au1 Au 0.500 0.500 0.500 1
```



(4)
# CsCrTe3Au

CsCrTe3Au after structural relaxation (PBE, the Alexandria database).

Summary:
DOS at the Fermi energy (states/eV/f.u.): 2.18
Energy relative to the elements, uncorrected (eV/f.u.): -2.4
Calculated density (g cm⁻³): 6.47

Structure (CIF):
```
data_CsCrTe3Au
_chemical_formula_sum 'Cs2 Cr2 Te6 Au2'
_symmetry_space_group_name_H-M 'P 1 21/m 1'
_symmetry_Int_Tables_number 11
_cell_length_a 9.580
_cell_length_b 4.101
_cell_length_c 11.061
_cell_angle_alpha 90.00
_cell_angle_beta 115.47
_cell_angle_gamma 90.00
loop_
_symmetry_equiv_pos_as_xyz
'x,y,z'
'-x,-y,-z'
'-x,y+1/2,-z'
'x,-y+1/2,z'
loop_
_atom_site_label
_atom_site_type_symbol
_atom_site_fract_x
_atom_site_fract_y
_atom_site_fract_z
_atom_site_occupancy
Cs1 Cs 0.234 0.250 0.275 1
Cr1 Cr 0.325 0.750 0.852 1
Te1 Te 0.143 0.250 0.873 1
Te2 Te 0.259 0.750 0.585 1
Te3 Te 0.472 0.750 0.129 1
Au1 Au 0.053 0.250 0.605 1
```



(5)
# CsCrTe6Au

CsCrTe6Au after structural relaxation (PBE, the Alexandria database).

Summary:
DOS at the Fermi energy (states/eV/f.u.): 4.39
Energy relative to the elements, uncorrected (eV/f.u.): -1.6
Calculated density (g cm⁻³): 6.10

Structure (CIF):
```
data_CsCrTe6Au
_chemical_formula_sum 'Cs4 Cr4 Te24 Au4'
_symmetry_space_group_name_H-M 'I m m a'
_symmetry_Int_Tables_number 74
_symmetry_space_group_name_Hall '-I 2b 2'
_cell_length_a 8.626
_cell_length_b 9.444
_cell_length_c 15.336
_cell_angle_alpha 90.00
_cell_angle_beta 90.00
_cell_angle_gamma 90.00
loop_
_atom_site_label
_atom_site_type_symbol
_atom_site_fract_x
_atom_site_fract_y
_atom_site_fract_z
_atom_site_occupancy
Cs1 Cs 0.000 0.250 0.180 1
Cr1 Cr 0.000 0.000 0.500 1
Te1 Te 0.000 0.250 0.418 1
Te2 Te 0.000 0.250 0.927 1
Te3 Te 0.232 0.049 0.618 1
Au1 Au 0.250 0.250 0.750 1
```



(6)
# Cs2TlCrAu

Cs2TlCrAu after structural relaxation (PBE, the Alexandria database).

Summary:
Formation enthalpy at 0 K (kJ per mole of atoms): 39.4
DOS at the Fermi energy (states/eV/f.u.): 4.01
Calculated density (g cm⁻³): 4.84

Structure (CIF):
```
data_Cs2TlCrAu
_chemical_formula_sum 'Cs2 Tl1 Cr1 Au1'
_symmetry_space_group_name_H-M 'P 4/m m m'
_symmetry_Int_Tables_number 123
_symmetry_space_group_name_Hall '-P 4 2'
_cell_length_a 6.840
_cell_length_b 6.840
_cell_length_c 5.276
_cell_angle_alpha 90.00
_cell_angle_beta 90.00
_cell_angle_gamma 90.00
loop_
_atom_site_label
_atom_site_type_symbol
_atom_site_fract_x
_atom_site_fract_y
_atom_site_fract_z
_atom_site_occupancy
Cs1 Cs 0.000 0.500 0.000 1
Tl1 Tl 0.000 0.000 0.500 1
Cr1 Cr 0.500 0.500 0.500 1
Au1 Au 0.500 0.500 0.000 1
```



(7)
# Cr2CuAu

Cr2CuAu after structural relaxation (PBE, the Alexandria database).

Summary:
Formation enthalpy at 0 K (kJ per mole of atoms): 27.7
DOS at the Fermi energy (states/eV/f.u.): 2.44
Calculated density (g cm⁻³): 10.77

Structure (CIF):
```
data_Cr2CuAu
_chemical_formula_sum 'Cr6 Cu3 Au3'
_symmetry_space_group_name_H-M 'R 3 m'
_symmetry_Int_Tables_number 160
_symmetry_space_group_name_Hall 'R 3 -2"'
_cell_length_a 2.8226
_cell_length_b 2.8226
_cell_length_c 24.4328
_cell_angle_alpha 90.00
_cell_angle_beta 90.00
_cell_angle_gamma 120.00
loop_
_atom_site_label
_atom_site_type_symbol
_atom_site_fract_x
_atom_site_fract_y
_atom_site_fract_z
_atom_site_occupancy
Cr1 Cr 0.0000 0.0000 0.0000 1
Cr2 Cr 0.0000 0.0000 0.2708 1
Cu1 Cu 0.0000 0.0000 0.7508 1
Au1 Au 0.0000 0.0000 0.5084 1
```



(8)
# Cr3CuAu

Cr3CuAu after structural relaxation (PBE, the Alexandria database).

Summary:
Formation enthalpy at 0 K (kJ per mole of atoms): 145.9
DOS at the Fermi energy (states/eV/f.u.): 3.83
Energy relative to the lowest polymorph listed for this composition (eV per atom): 0.000
Calculated density (g cm⁻³): 5.58

Structure (CIF):
```
data_Cr3CuAu
_chemical_formula_sum 'Cr3 Cu1 Au1'
_symmetry_space_group_name_H-M 'P m -3 m'
_symmetry_Int_Tables_number 221
_symmetry_space_group_name_Hall '-P 4 2 3'
_cell_length_a 4.986
_cell_length_b 4.986
_cell_length_c 4.986
_cell_angle_alpha 90.00
_cell_angle_beta 90.00
_cell_angle_gamma 90.00
loop_
_atom_site_label
_atom_site_type_symbol
_atom_site_fract_x
_atom_site_fract_y
_atom_site_fract_z
_atom_site_occupancy
Cr1 Cr 0.000 0.000 0.500 1
Cu1 Cu 0.500 0.500 0.500 1
Au1 Au 0.000 0.000 0.000 1
```



(9)
# Cr2CuAu

Cr2CuAu after structural relaxation (PBE, the Alexandria database).

Summary:
Formation enthalpy at 0 K (kJ per mole of atoms): 44.1
DOS at the Fermi energy (states/eV/f.u.): 5.32
Calculated density (g cm⁻³): 11.29

Structure (CIF):
```
data_Cr2CuAu
_chemical_formula_sum 'Cr2 Cu1 Au1'
_symmetry_space_group_name_H-M 'P 4/m m m'
_symmetry_Int_Tables_number 123
_symmetry_space_group_name_Hall '-P 4 2'
_cell_length_a 2.624
_cell_length_b 2.624
_cell_length_c 7.785
_cell_angle_alpha 90.00
_cell_angle_beta 90.00
_cell_angle_gamma 90.00
loop_
_atom_site_label
_atom_site_type_symbol
_atom_site_fract_x
_atom_site_fract_y
_atom_site_fract_z
_atom_site_occupancy
Cr1 Cr 0.000 0.000 0.228 1
Cu1 Cu 0.500 0.500 0.000 1
Au1 Au 0.500 0.500 0.500 1
```



(10)
# CrCu6Au8

CrCu6Au8 after structural relaxation (PBE, the Alexandria database).

Summary:
Formation enthalpy at 0 K (kJ per mole of atoms): 12.6
DOS at the Fermi energy (states/eV/f.u.): 5.72
Calculated density (g cm⁻³): 13.34

Structure (CIF):
```
data_CrCu6Au8
_chemical_formula_sum 'Cr3 Cu18 Au24'
_symmetry_space_group_name_H-M 'R -3'
_symmetry_Int_Tables_number 148
_symmetry_space_group_name_Hall '-R 3'
_cell_length_a 8.3359
_cell_length_b 8.3359
_cell_length_c 12.4677
_cell_angle_alpha 90.00
_cell_angle_beta 90.00
_cell_angle_gamma 120.00
loop_
_atom_site_label
_atom_site_type_symbol
_atom_site_fract_x
_atom_site_fract_y
_atom_site_fract_z
_atom_site_occupancy
Cr1 Cr 0.0000 0.0000 0.0000 1
Cu1 Cu 0.0216 0.8359 0.4096 1
Au1 Au 0.0000 0.0000 0.2262 1
Au2 Au 0.0155 0.7205 0.9061 1
```



(11)
# Cr2CuAu

Cr2CuAu after structural relaxation (PBE, the Alexandria database).

Summary:
Formation enthalpy at 0 K (kJ per mole of atoms): 32.8
DOS at the Fermi energy (states/eV/f.u.): 4.26
Calculated density (g cm⁻³): 11.04

Structure (CIF):
```
data_Cr2CuAu
_chemical_formula_sum 'Cr2 Cu1 Au1'
_symmetry_space_group_name_H-M 'P m m m'
_symmetry_Int_Tables_number 47
_cell_length_a 2.672
_cell_length_b 4.012
_cell_length_c 5.113
_cell_angle_alpha 90.00
_cell_angle_beta 90.00
_cell_angle_gamma 90.00
loop_
_symmetry_equiv_pos_as_xyz
'x,y,z'
'-x,-y,-z'
'-x,-y,z'
'x,y,-z'
'x,-y,-z'
'-x,y,z'
'-x,y,-z'
'x,-y,z'
loop_
_atom_site_label
_atom_site_type_symbol
_atom_site_fract_x
_atom_site_fract_y
_atom_site_fract_z
_atom_site_occupancy
Cr1 Cr 0.000 0.000 0.195 1
Cu1 Cu 0.500 0.500 0.000 1
Au1 Au 0.500 0.500 0.500 1
```



(12)
# CrCu2Au4

CrCu2Au4 after structural relaxation (PBE, the Alexandria database).

Summary:
Formation enthalpy at 0 K (kJ per mole of atoms): 16.3
DOS at the Fermi energy (states/eV/f.u.): 3.29
Calculated density (g cm⁻³): 13.38

Structure (CIF):
```
data_CrCu2Au4
_chemical_formula_sum 'Cr4 Cu8 Au16'
_symmetry_space_group_name_H-M 'I -4 2 d'
_symmetry_Int_Tables_number 122
_symmetry_space_group_name_Hall 'I -4 2bw'
_cell_length_a 7.834
_cell_length_b 7.834
_cell_length_c 7.822
_cell_angle_alpha 90.00
_cell_angle_beta 90.00
_cell_angle_gamma 90.00
loop_
_atom_site_label
_atom_site_type_symbol
_atom_site_fract_x
_atom_site_fract_y
_atom_site_fract_z
_atom_site_occupancy
Cr1 Cr 0.000 0.000 0.000 1
Cu1 Cu 0.136 0.250 0.625 1
Au1 Au 0.082 0.165 0.300 1
```